# ZrRh2N PBE optimized geometry
# **Energy**: -7.897 eV/atom
data_ZrRh2N
_space_group_name_H-M_alt 'I -4 2 d'
_space_group_IT_number 122
_space_group_name_Hall 'I -4 2bw'
_cell_length_a 5.582
_cell_length_b 5.582
_cell_length_c 8.755
_cell_angle_alpha 90.00
_cell_angle_beta 90.00
_cell_angle_gamma 90.00
loop_
_atom_site_label
_atom_site_type_symbol
_atom_site_fract_x
_atom_site_fract_y
_atom_site_fract_z
Zr1 Zr 0.000 0.000 0.000
Rh1 Rh 0.138 0.250 0.625
N1 N 0.000 0.000 0.500

# Zr2RhN PBE optimized geometry
# **Energy**: -9.253 eV/atom
data_Zr2RhN
_space_group_name_H-M_alt 'R -3 m'
_space_group_IT_number 166
_space_group_name_Hall '-R 3 2"'
_cell_length_a 3.2329
_cell_length_b 3.2329
_cell_length_c 20.6818
_cell_angle_alpha 90.00
_cell_angle_beta 90.00
_cell_angle_gamma 120.00
loop_
_atom_site_label
_atom_site_type_symbol
_atom_site_fract_x
_atom_site_fract_y
_atom_site_fract_z
Zr1 Zr 0.0000 0.0000 0.2308
Rh1 Rh 0.0000 0.0000 0.0000
N1 N 0.0000 0.0000 0.5000

# ZrRhN2 PBE optimized geometry
# **ΔE to the lowest computed polymorph**: 0.00 eV per formula unit
data_ZrRhN2
_space_group_name_H-M_alt 'I -4 2 d'
_space_group_IT_number 122
_space_group_name_Hall 'I -4 2bw'
_cell_length_a 4.623
_cell_length_b 4.623
_cell_length_c 10.370
_cell_angle_alpha 90.00
_cell_angle_beta 90.00
_cell_angle_gamma 90.00
loop_
_atom_site_label
_atom_site_type_symbol
_atom_site_fract_x
_atom_site_fract_y
_atom_site_fract_z
Zr1 Zr 0.000 0.000 0.000
Rh1 Rh 0.000 0.000 0.500
N1 N 0.239 0.250 0.625

# ZrRhN2 PBE optimized geometry
# **ΔE to the lowest computed polymorph**: 0.28 eV per formula unit
data_ZrRhN2
_space_group_name_H-M_alt 'R -3 m'
_space_group_IT_number 166
_space_group_name_Hall '-R 3 2"'
_cell_length_a 3.3164
_cell_length_b 3.3164
_cell_length_c 18.0548
_cell_angle_alpha 90.00
_cell_angle_beta 90.00
_cell_angle_gamma 120.00
loop_
_atom_site_label
_atom_site_type_symbol
_atom_site_fract_x
_atom_site_fract_y
_atom_site_fract_z
Zr1 Zr 0.0000 0.0000 0.0000
Rh1 Rh 0.0000 0.0000 0.5000
N1 N 0.0000 0.0000 0.3938

# Zr6RhN2 PBE optimized geometry
# **Energy**: -9.144 eV/atom
data_Zr6RhN2
_space_group_name_H-M_alt 'C 1 2/m 1'
_space_group_IT_number 12
_cell_length_a 10.980
_cell_length_b 4.453
_cell_length_c 7.776
_cell_angle_alpha 90.00
_cell_angle_beta 117.76
_cell_angle_gamma 90.00
loop_
_space_group_symop_operation_xyz
'x,y,z'
'-x,-y,-z'
'-x,y,-z'
'x,-y,z'
'x+1/2,y+1/2,z'
'-x+1/2,-y+1/2,-z'
'-x+1/2,y+1/2,-z'
'x+1/2,-y+1/2,z'
loop_
_atom_site_label
_atom_site_type_symbol
_atom_site_fract_x
_atom_site_fract_y
_atom_site_fract_z
Zr1 Zr 0.022 0.000 0.195
Zr2 Zr 0.164 0.500 0.573
Zr3 Zr 0.192 0.500 0.081
Rh1 Rh 0.000 0.000 0.500
N1 N 0.184 0.000 0.088

# Ru4N PBE optimized geometry
# **Energy**: -8.690 eV/atom
data_Ru4N
_space_group_name_H-M_alt 'P m -3 m'
_space_group_IT_number 221
_space_group_name_Hall '-P 4 2 3'
_cell_length_a 4.005
_cell_length_b 4.005
_cell_length_c 4.005
_cell_angle_alpha 90.00
_cell_angle_beta 90.00
_cell_angle_gamma 90.00
loop_
_atom_site_label
_atom_site_type_symbol
_atom_site_fract_x
_atom_site_fract_y
_atom_site_fract_z
Ru1 Ru 0.000 0.000 0.000
Ru2 Ru 0.000 0.500 0.500
N1 N 0.500 0.500 0.500

# RuN PBE optimized geometry
# **Energy**: -7.869 eV/atom
data_RuN
_space_group_name_H-M_alt 'F m -3 m'
_space_group_IT_number 225
_space_group_name_Hall '-F 4 2 3'
_cell_length_a 4.331
_cell_length_b 4.331
_cell_length_c 4.331
_cell_angle_alpha 90.00
_cell_angle_beta 90.00
_cell_angle_gamma 90.00
loop_
_atom_site_label
_atom_site_type_symbol
_atom_site_fract_x
_atom_site_fract_y
_atom_site_fract_z
Ru1 Ru 0.000 0.000 0.000
N1 N 0.000 0.000 0.500

# RuN PBE optimized geometry
# **Energy**: -8.248 eV/atom
data_RuN
_space_group_name_H-M_alt 'P 4/m'
_space_group_IT_number 83
_cell_length_a 9.411
_cell_length_b 9.411
_cell_length_c 3.077
_cell_angle_alpha 90.00
_cell_angle_beta 90.00
_cell_angle_gamma 90.00
loop_
_space_group_symop_operation_xyz
'x,y,z'
'-x,-y,-z'
'-y,x,z'
'y,-x,-z'
'-x,-y,z'
'x,y,-z'
'y,-x,z'
'-y,x,-z'
loop_
_atom_site_label
_atom_site_type_symbol
_atom_site_fract_x
_atom_site_fract_y
_atom_site_fract_z
Ru1 Ru 0.087 0.616 0.000
Ru2 Ru 0.152 0.284 0.500
N1 N 0.133 0.407 0.000
N2 N 0.195 0.674 0.500

# RuN PBE optimized geometry
# **Energy**: -8.399 eV/atom
data_RuN
_space_group_name_H-M_alt 'P 63 m c'
_space_group_IT_number 186
_space_group_name_Hall 'P 6c -2c'
_cell_length_a 3.1672
_cell_length_b 3.1672
_cell_length_c 5.5047
_cell_angle_alpha 90.00
_cell_angle_beta 90.00
_cell_angle_gamma 120.00
loop_
_atom_site_label
_atom_site_type_symbol
_atom_site_fract_x
_atom_site_fract_y
_atom_site_fract_z
Ru1 Ru 0.3333 0.6667 0.0000
N1 N 0.3333 0.6667 0.6362

# RuN PBE optimized geometry
# **Energy**: -8.182 eV/atom
data_RuN
_space_group_name_H-M_alt 'P m -3 n'
_space_group_IT_number 223
_space_group_name_Hall '-P 4n 2 3'
_cell_length_a 5.618
_cell_length_b 5.618
_cell_length_c 5.618
_cell_angle_alpha 90.00
_cell_angle_beta 90.00
_cell_angle_gamma 90.00
loop_
_atom_site_label
_atom_site_type_symbol
_atom_site_fract_x
_atom_site_fract_y
_atom_site_fract_z
Ru1 Ru 0.000 0.250 0.500
N1 N 0.000 0.500 0.250

# RuN PBE optimized geometry
# **Energy**: -8.351 eV/atom
data_RuN
_space_group_name_H-M_alt 'F d d d'
_space_group_IT_number 70
_cell_length_a 5.544
_cell_length_b 8.873
_cell_length_c 10.144
_cell_angle_alpha 90.00
_cell_angle_beta 90.00
_cell_angle_gamma 90.00
loop_
_space_group_symop_operation_xyz
'x,y,z'
'-x,-y,-z'
'-x+1/4,-y+1/4,z'
'x+1/4,y+1/4,-z'
'x,-y+1/4,-z+1/4'
'-x,y+1/4,z+1/4'
'-x+1/4,y,-z+1/4'
'x+1/4,-y,z+1/4'
'x,y+1/2,z+1/2'
'-x,-y+1/2,-z+1/2'
'-x+1/4,-y+3/4,z+1/2'
'x+1/4,y+3/4,-z+1/2'
'x,-y+3/4,-z+3/4'
'-x,y+3/4,z+3/4'
'-x+1/4,y+1/2,-z+3/4'
'x+1/4,-y+1/2,z+3/4'
'x+1/2,y,z+1/2'
'-x+1/2,-y,-z+1/2'
'-x+3/4,-y+1/4,z+1/2'
'x+3/4,y+1/4,-z+1/2'
'x+1/2,-y+1/4,-z+3/4'
'-x+1/2,y+1/4,z+3/4'
'-x+3/4,y,-z+3/4'
'x+3/4,-y,z+3/4'
'x+1/2,y+1/2,z'
'-x+1/2,-y+1/2,-z'
'-x+3/4,-y+3/4,z'
'x+3/4,y+3/4,-z'
'x+1/2,-y+3/4,-z+1/4'
'-x+1/2,y+3/4,z+1/4'
'-x+3/4,y+1/2,-z+1/4'
'x+3/4,-y+1/2,z+1/4'
loop_
_atom_site_label
_atom_site_type_symbol
_atom_site_fract_x
_atom_site_fract_y
_atom_site_fract_z
Ru1 Ru 0.125 0.125 0.256
N1 N 0.125 0.299 0.125

# RuN PBE optimized geometry
# **Energy**: -8.339 eV/atom
data_RuN
_space_group_name_H-M_alt 'P 21 21 21'
_space_group_IT_number 19
_cell_length_a 5.565
_cell_length_b 5.622
_cell_length_c 6.754
_cell_angle_alpha 90.00
_cell_angle_beta 90.00
_cell_angle_gamma 90.00
loop_
_space_group_symop_operation_xyz
'x,y,z'
'-x+1/2,-y,z+1/2'
'x+1/2,-y+1/2,-z'
'-x,y+1/2,-z+1/2'
loop_
_atom_site_label
_atom_site_type_symbol
_atom_site_fract_x
_atom_site_fract_y
_atom_site_fract_z
Ru1 Ru 0.110 0.054 0.273
Ru2 Ru 0.194 0.361 0.974
N1 N 0.154 0.952 0.552
N2 N 0.198 0.397 0.283

# RuN PBE optimized geometry
# **Energy**: -8.535 eV/atom
data_RuN
_space_group_name_H-M_alt 'F -4 3 m'
_space_group_IT_number 216
_space_group_name_Hall 'F -4 2 3'
_cell_length_a 4.564
_cell_length_b 4.564
_cell_length_c 4.564
_cell_angle_alpha 90.00
_cell_angle_beta 90.00
_cell_angle_gamma 90.00
loop_
_atom_site_label
_atom_site_type_symbol
_atom_site_fract_x
_atom_site_fract_y
_atom_site_fract_z
Ru1 Ru 0.000 0.000 0.000
N1 N 0.250 0.250 0.250

# RuN PBE optimized geometry
# **Energy**: -7.905 eV/atom
data_RuN
_space_group_name_H-M_alt 'P -6 m 2'
_space_group_IT_number 187
_space_group_name_Hall 'P -6 2'
_cell_length_a 2.7625
_cell_length_b 2.7625
_cell_length_c 3.0340
_cell_angle_alpha 90.00
_cell_angle_beta 90.00
_cell_angle_gamma 120.00
loop_
_atom_site_label
_atom_site_type_symbol
_atom_site_fract_x
_atom_site_fract_y
_atom_site_fract_z
Ru1 Ru 0.0000 0.0000 0.0000
N1 N 0.3333 0.6667 0.5000

# RuN PBE optimized geometry
# **Energy**: -8.341 eV/atom
data_RuN
_space_group_name_H-M_alt 'I 4/m'
_space_group_IT_number 87
_space_group_name_Hall '-I 4'
_cell_length_a 8.558
_cell_length_b 8.558
_cell_length_c 2.820
_cell_angle_alpha 90.00
_cell_angle_beta 90.00
_cell_angle_gamma 90.00
loop_
_atom_site_label
_atom_site_type_symbol
_atom_site_fract_x
_atom_site_fract_y
_atom_site_fract_z
Ru1 Ru 0.115 0.248 0.000
N1 N 0.105 0.694 0.000

# RuN PBE optimized geometry
# **Energy**: -8.397 eV/atom
data_RuN
_space_group_name_H-M_alt 'P 63/m'
_space_group_IT_number 176
_space_group_name_Hall '-P 6c'
_cell_length_a 8.1380
_cell_length_b 8.1380
_cell_length_c 2.8419
_cell_angle_alpha 90.00
_cell_angle_beta 90.00
_cell_angle_gamma 120.00
loop_
_atom_site_label
_atom_site_type_symbol
_atom_site_fract_x
_atom_site_fract_y
_atom_site_fract_z
Ru1 Ru 0.1163 0.6550 0.2500
N1 N 0.0745 0.3837 0.2500

# RuN PBE optimized geometry
# **Energy**: -8.288 eV/atom
data_RuN
_space_group_name_H-M_alt 'P 42/m n m'
_space_group_IT_number 136
_space_group_name_Hall '-P 4n 2n'
_cell_length_a 5.992
_cell_length_b 5.992
_cell_length_c 2.824
_cell_angle_alpha 90.00
_cell_angle_beta 90.00
_cell_angle_gamma 90.00
loop_
_atom_site_label
_atom_site_type_symbol
_atom_site_fract_x
_atom_site_fract_y
_atom_site_fract_z
Ru1 Ru 0.158 0.158 0.000
N1 N 0.175 0.825 0.000

# RuN PBE optimized geometry
# **Energy**: -8.442 eV/atom
data_RuN
_space_group_name_H-M_alt 'P m m n'
_space_group_IT_number 59
_cell_length_a 3.183
_cell_length_b 10.276
_cell_length_c 4.650
_cell_angle_alpha 90.00
_cell_angle_beta 90.00
_cell_angle_gamma 90.00
loop_
_space_group_symop_operation_xyz
'x,y,z'
'-x,-y,-z'
'-x+1/2,-y+1/2,z'
'x+1/2,y+1/2,-z'
'x+1/2,-y,-z'
'-x+1/2,y,z'
'-x,y+1/2,-z'
'x,-y+1/2,z'
loop_
_atom_site_label
_atom_site_type_symbol
_atom_site_fract_x
_atom_site_fract_y
_atom_site_fract_z
Ru1 Ru 0.250 0.109 0.053
Ru2 Ru 0.250 0.750 0.413
N1 N 0.250 0.250 0.335
N2 N 0.250 0.588 0.195

# RuN PBE optimized geometry
# **Energy**: -8.271 eV/atom
data_RuN
_space_group_name_H-M_alt 'P m n 21'
_space_group_IT_number 31
_cell_length_a 8.845
_cell_length_b 3.333
_cell_length_c 5.388
_cell_angle_alpha 90.00
_cell_angle_beta 90.00
_cell_angle_gamma 90.00
loop_
_space_group_symop_operation_xyz
'x,y,z'
'-x+1/2,-y,z+1/2'
'-x,y,z'
'x+1/2,-y,z+1/2'
loop_
_atom_site_label
_atom_site_type_symbol
_atom_site_fract_x
_atom_site_fract_y
_atom_site_fract_z
Ru1 Ru 0.000 0.006 0.000
Ru2 Ru 0.217 0.634 0.712
N1 N 0.000 0.485 0.789
N2 N 0.215 0.873 0.059

# RuN4 PBE optimized geometry
# **Energy**: -6.025 eV/atom
data_RuN4
_space_group_name_H-M_alt 'P m -3 m'
_space_group_IT_number 221
_space_group_name_Hall '-P 4 2 3'
_cell_length_a 3.875
_cell_length_b 3.875
_cell_length_c 3.875
_cell_angle_alpha 90.00
_cell_angle_beta 90.00
_cell_angle_gamma 90.00
loop_
_atom_site_label
_atom_site_type_symbol
_atom_site_fract_x
_atom_site_fract_y
_atom_site_fract_z
Ru1 Ru 0.000 0.000 0.000
N1 N 0.000 0.000 0.500
N2 N 0.500 0.500 0.500